(1)
DFT (PBEsol) results for an optimized crystal structure of Sr4RuRh.

Computed properties:
The value obtained for the total energy is -0.215 Ry/atom. The value obtained for the density is 5.53 Mg/m³. For the formation energy, the calculation gives 1.349 eV per atom. Its density of states at the Fermi level is 9.6 states/eV/f.u.

Structure (CIF):
```
data_Sr4RuRh
_chemical_formula_sum 'Sr16 Ru4 Rh4'
_space_group_name_H-M_alt 'F -4 3 m'
_space_group_IT_number 216
_space_group_name_Hall 'F -4 2 3'
_cell_length_a 8.7353
_cell_length_b 8.7353
_cell_length_c 8.7353
_cell_angle_alpha 90.00
_cell_angle_beta 90.00
_cell_angle_gamma 90.00
loop_
_atom_site_label
_atom_site_type_symbol
_atom_site_fract_x
_atom_site_fract_y
_atom_site_fract_z
Sr1 Sr 0.1252 0.1252 0.1252
Ru1 Ru 0.2500 0.2500 0.7500
Rh1 Rh 0.0000 0.0000 0.5000
```



(2)
DFT (PBEsol) results for an optimized crystal structure of SrRuRh2.

Computed properties:
As for the relative energy among the computed polymorphs: 0 meV/atom. The value obtained for the total energy is -0.477 Ry/atom. The value obtained for the density is 9.53 Mg/m³. For the formation energy, the calculation gives 0.582 eV per atom. Its density of states at the Fermi level is 2.8 states/eV/f.u.

Structure (CIF):
```
data_SrRuRh2
_chemical_formula_sum 'Sr4 Ru4 Rh8'
_space_group_name_H-M_alt 'F m -3 m'
_space_group_IT_number 225
_space_group_name_Hall '-F 4 2 3'
_cell_length_a 6.5036
_cell_length_b 6.5036
_cell_length_c 6.5036
_cell_angle_alpha 90.00
_cell_angle_beta 90.00
_cell_angle_gamma 90.00
loop_
_atom_site_label
_atom_site_type_symbol
_atom_site_fract_x
_atom_site_fract_y
_atom_site_fract_z
Sr1 Sr 0.0000 0.0000 0.0000
Ru1 Ru 0.0000 0.0000 0.5000
Rh1 Rh 0.2500 0.2500 0.2500
```



(3)
DFT (PBEsol) results for an optimized crystal structure of Ta2RuRh.

Computed properties:
The value obtained for the total energy is -0.823 Ry/atom. The value obtained for the density is 15.21 Mg/m³. For the formation energy, the calculation gives -0.346 eV per atom. Its density of states at the Fermi level is 4.0 states/eV/f.u.

Structure (CIF):
```
data_Ta2RuRh
_chemical_formula_sum 'Ta4 Ru2 Rh2'
_space_group_name_H-M_alt 'C m m m'
_space_group_IT_number 65
_space_group_name_Hall '-C 2 2'
_cell_length_a 5.8242
_cell_length_b 7.2301
_cell_length_c 2.9345
_cell_angle_alpha 90.00
_cell_angle_beta 90.00
_cell_angle_gamma 90.00
loop_
_atom_site_label
_atom_site_type_symbol
_atom_site_fract_x
_atom_site_fract_y
_atom_site_fract_z
Ta1 Ta 0.2500 0.2500 0.0000
Ru1 Ru 0.0000 0.0000 0.5000
Rh1 Rh 0.0000 0.5000 0.5000
```



Q: Number 1 is which compound?
A: Sr4RuRh



Q: The lowest density of states at the Fermi level belongs to which entry?
A: SrRuRh2



Q: Which of these has the lowest density of states at the Fermi level?
A: SrRuRh2



Please write out number 3 again, unchanged.
DFT (PBEsol) results for an optimized crystal structure of Ta2RuRh.

Computed properties:
The value obtained for the total energy is -0.823 Ry/atom. The value obtained for the density is 15.21 Mg/m³. For the formation energy, the calculation gives -0.346 eV per atom. Its density of states at the Fermi level is 4.0 states/eV/f.u.

Structure (CIF):
```
data_Ta2RuRh
_chemical_formula_sum 'Ta4 Ru2 Rh2'
_space_group_name_H-M_alt 'C m m m'
_space_group_IT_number 65
_space_group_name_Hall '-C 2 2'
_cell_length_a 5.8242
_cell_length_b 7.2301
_cell_length_c 2.9345
_cell_angle_alpha 90.00
_cell_angle_beta 90.00
_cell_angle_gamma 90.00
loop_
_atom_site_label
_atom_site_type_symbol
_atom_site_fract_x
_atom_site_fract_y
_atom_site_fract_z
Ta1 Ta 0.2500 0.2500 0.0000
Ru1 Ru 0.0000 0.0000 0.5000
Rh1 Rh 0.0000 0.5000 0.5000
```